[1]
# GGA-PBE MgSnS3, optimized geometry
# Relative energy among the computed polymorphs in meV/atom: 0
# Total moment in μB/cell: 0.000
data_MgSnS3
_chemical_formula_sum 'Mg2 Sn2 S6'
_symmetry_space_group_name_H-M 'P -6 c 2'
_symmetry_Int_Tables_number 188
_symmetry_space_group_name_Hall 'P -6c 2'
_cell_length_a 6.3094
_cell_length_b 6.3094
_cell_length_c 6.3455
_cell_angle_alpha 90.00
_cell_angle_beta 90.00
_cell_angle_gamma 120.00
loop_
_atom_site_label
_atom_site_fract_x
_atom_site_fract_y
_atom_site_fract_z
Mg1 0.0000 0.0000 0.0000
Sn1 0.3333 0.6667 0.0000
S1 0.0055 0.3402 0.2500



[2]
# GGA-PBE MgSnS2, optimized geometry
# Total moment in μB/cell: 0.000
data_MgSnS2
_chemical_formula_sum 'Mg4 Sn4 S8'
_symmetry_space_group_name_H-M 'I -4 2 d'
_symmetry_Int_Tables_number 122
_symmetry_space_group_name_Hall 'I -4 2bw'
_cell_length_a 6.2296
_cell_length_b 6.2296
_cell_length_c 11.6836
_cell_angle_alpha 90.00
_cell_angle_beta 90.00
_cell_angle_gamma 90.00
loop_
_atom_site_label
_atom_site_fract_x
_atom_site_fract_y
_atom_site_fract_z
Mg1 0.0000 0.0000 0.0000
Sn1 0.0000 0.0000 0.5000
S1 0.2023 0.2500 0.1250



[3]
# GGA-PBE MgSn2S6, optimized geometry
# Total moment in μB/cell: 1.658
data_MgSn2S6
_chemical_formula_sum 'Mg2 Sn4 S12'
_symmetry_space_group_name_H-M 'P 42/m n m'
_symmetry_Int_Tables_number 136
_symmetry_space_group_name_Hall '-P 4n 2n'
_cell_length_a 6.0406
_cell_length_b 6.0406
_cell_length_c 11.5252
_cell_angle_alpha 90.00
_cell_angle_beta 90.00
_cell_angle_gamma 90.00
loop_
_atom_site_label
_atom_site_fract_x
_atom_site_fract_y
_atom_site_fract_z
Mg1 0.0000 0.0000 0.0000
Sn1 0.0000 0.0000 0.3334
S1 0.1946 0.1946 0.1653
S2 0.1970 0.1970 0.5000



[4]
# GGA-PBE MgSnS3, optimized geometry
# Relative energy among the computed polymorphs in meV/atom: 39
# Total moment in μB/cell: 0.000
data_MgSnS3
_chemical_formula_sum 'Mg2 Sn2 S6'
_symmetry_space_group_name_H-M 'P -3 1 m'
_symmetry_Int_Tables_number 162
_symmetry_space_group_name_Hall '-P 3 2'
_cell_length_a 6.5001
_cell_length_b 6.5001
_cell_length_c 8.2196
_cell_angle_alpha 90.00
_cell_angle_beta 90.00
_cell_angle_gamma 120.00
loop_
_atom_site_label
_atom_site_fract_x
_atom_site_fract_y
_atom_site_fract_z
Mg1 0.3333 0.6667 0.0000
Sn1 0.0000 0.0000 0.1967
S1 0.0000 0.3618 0.8026



[5]
# GGA-PBE MgSn2S, optimized geometry
# Total moment in μB/cell: 0.000
data_MgSn2S
_chemical_formula_sum 'Mg4 Sn8 S4'
_symmetry_space_group_name_H-M 'F m -3 m'
_symmetry_Int_Tables_number 225
_symmetry_space_group_name_Hall '-F 4 2 3'
_cell_length_a 7.2218
_cell_length_b 7.2218
_cell_length_c 7.2218
_cell_angle_alpha 90.00
_cell_angle_beta 90.00
_cell_angle_gamma 90.00
loop_
_atom_site_label
_atom_site_fract_x
_atom_site_fract_y
_atom_site_fract_z
Mg1 0.0000 0.0000 0.0000
Sn1 0.2500 0.2500 0.2500
S1 0.0000 0.0000 0.5000



[6]
# GGA-PBE Mg2SnS, optimized geometry
# Relative energy among the computed polymorphs in meV/atom: 0
# Total moment in μB/cell: 0.000
data_Mg2SnS
_chemical_formula_sum 'Mg6 Sn3 S3'
_symmetry_space_group_name_H-M 'R -3 m'
_symmetry_Int_Tables_number 166
_symmetry_space_group_name_Hall '-R 3 2"'
_cell_length_a 3.6269
_cell_length_b 3.6269
_cell_length_c 22.5286
_cell_angle_alpha 90.00
_cell_angle_beta 90.00
_cell_angle_gamma 120.00
loop_
_atom_site_label
_atom_site_fract_x
_atom_site_fract_y
_atom_site_fract_z
Mg1 0.0000 0.0000 0.2341
Sn1 0.0000 0.0000 0.0000
S1 0.0000 0.0000 0.5000



[7]
# GGA-PBE MgSn2S, optimized geometry
# Total moment in μB/cell: 0.000
data_MgSn2S
_chemical_formula_sum 'Mg4 Sn8 S4'
_symmetry_space_group_name_H-M 'I -4 2 d'
_symmetry_Int_Tables_number 122
_symmetry_space_group_name_Hall 'I -4 2bw'
_cell_length_a 6.5295
_cell_length_b 6.5295
_cell_length_c 12.1930
_cell_angle_alpha 90.00
_cell_angle_beta 90.00
_cell_angle_gamma 90.00
loop_
_atom_site_label
_atom_site_fract_x
_atom_site_fract_y
_atom_site_fract_z
Mg1 0.0000 0.0000 0.0000
Sn1 0.2281 0.2500 0.6250
S1 0.0000 0.0000 0.5000



[8]
# GGA-PBE MgSnS2, optimized geometry
# Total moment in μB/cell: 0.000
data_MgSnS2
_chemical_formula_sum 'Mg3 Sn3 S6'
_symmetry_space_group_name_H-M 'R 3 m'
_symmetry_Int_Tables_number 160
_symmetry_space_group_name_Hall 'R 3 -2"'
_cell_length_a 3.8239
_cell_length_b 3.8239
_cell_length_c 20.3801
_cell_angle_alpha 90.00
_cell_angle_beta 90.00
_cell_angle_gamma 120.00
loop_
_atom_site_label
_atom_site_fract_x
_atom_site_fract_y
_atom_site_fract_z
Mg1 0.0000 0.0000 0.0000
Sn1 0.0000 0.0000 0.1689
S1 0.0000 0.0000 0.4078
S2 0.0000 0.0000 0.5981



[9]
# GGA-PBE Mg2SnS, optimized geometry
# Relative energy among the computed polymorphs in meV/atom: 666
# Total moment in μB/cell: 0.000
data_Mg2SnS
_chemical_formula_sum 'Mg8 Sn4 S4'
_symmetry_space_group_name_H-M 'F m -3 m'
_symmetry_Int_Tables_number 225
_symmetry_space_group_name_Hall '-F 4 2 3'
_cell_length_a 6.9881
_cell_length_b 6.9881
_cell_length_c 6.9881
_cell_angle_alpha 90.00
_cell_angle_beta 90.00
_cell_angle_gamma 90.00
loop_
_atom_site_label
_atom_site_fract_x
_atom_site_fract_y
_atom_site_fract_z
Mg1 0.2500 0.2500 0.2500
Sn1 0.0000 0.0000 0.0000
S1 0.0000 0.0000 0.5000



[10]
# GGA-PBE Mg2SnS, optimized geometry
# Relative energy among the computed polymorphs in meV/atom: 49
# Total moment in μB/cell: 0.000
data_Mg2SnS
_chemical_formula_sum 'Mg6 Sn3 S3'
_symmetry_space_group_name_H-M 'R 3 m'
_symmetry_Int_Tables_number 160
_symmetry_space_group_name_Hall 'R 3 -2"'
_cell_length_a 3.6137
_cell_length_b 3.6137
_cell_length_c 22.8976
_cell_angle_alpha 90.00
_cell_angle_beta 90.00
_cell_angle_gamma 120.00
loop_
_atom_site_label
_atom_site_fract_x
_atom_site_fract_y
_atom_site_fract_z
Mg1 0.0000 0.0000 0.0000
Mg2 0.0000 0.0000 0.1983
Sn1 0.0000 0.0000 0.4321
S1 0.0000 0.0000 0.6001



[11]
# GGA-PBE Mg3Sn5S12, optimized geometry
# Total moment in μB/cell: 0.000
data_Mg3Sn5S12
_chemical_formula_sum 'Mg24 Sn40 S96'
_symmetry_space_group_name_H-M 'I a -3 d'
_symmetry_Int_Tables_number 230
_symmetry_space_group_name_Hall '-I 4bd 2c 3'
_cell_length_a 15.6568
_cell_length_b 15.6568
_cell_length_c 15.6568
_cell_angle_alpha 90.00
_cell_angle_beta 90.00
_cell_angle_gamma 90.00
loop_
_atom_site_label
_atom_site_fract_x
_atom_site_fract_y
_atom_site_fract_z
Mg1 0.0000 0.2500 0.1250
Sn1 0.0000 0.0000 0.0000
Sn2 0.0000 0.2500 0.3750
S1 0.0206 0.0669 0.6568



[12]
# GGA-PBE MgSnS3, optimized geometry
# Relative energy among the computed polymorphs in meV/atom: 512
# Total moment in μB/cell: 0.000
data_MgSnS3
_chemical_formula_sum 'Mg1 Sn1 S3'
_symmetry_space_group_name_H-M 'P m -3 m'
_symmetry_Int_Tables_number 221
_symmetry_space_group_name_Hall '-P 4 2 3'
_cell_length_a 4.8254
_cell_length_b 4.8254
_cell_length_c 4.8254
_cell_angle_alpha 90.00
_cell_angle_beta 90.00
_cell_angle_gamma 90.00
loop_
_atom_site_label
_atom_site_fract_x
_atom_site_fract_y
_atom_site_fract_z
Mg1 0.0000 0.0000 0.0000
Sn1 0.5000 0.5000 0.5000
S1 0.0000 0.0000 0.5000



Looking at E_form (uncorrected) for the records above, in order, we have -286 -281 -208 -267 44 -288 28 -312 -31 -269 -972 -39 kJ/mol of formula units.